# 1
8
Lattice="3.761 0.000 0.000 0.000 3.761 0.000 0.000 0.000 15.207" Properties=species:S:1:pos:R:3 comment="Tl3AgHg4 | the Alexandria database | PBE | relaxed" delta_e_f_ev_per_atom=0.031 volume_a3_per_cell=215.1 pbc="T T T"
Tl 1.880 1.880 3.473
Tl 1.880 1.880 7.604
Tl 1.880 1.880 11.734
Hg 0.000 0.000 13.681
Hg 0.000 0.000 1.526
Hg 0.000 0.000 5.509
Hg 0.000 0.000 9.698
Ag 1.880 1.880 0.000



# 2
4
Lattice="5.247 -0.026 -0.032 -2.617 4.548 0.032 -2.612 -1.507 4.284" Properties=species:S:1:pos:R:3 comment="NdMg2In | the Alexandria database | PBE | relaxed" relative_energy_kj_per_mol_atoms=3.7 delta_e_f_ev_per_atom=-0.252 volume_a3_per_cell=101.7 pbc="T T T"
Nd -1.305 0.759 1.880
Mg -3.918 2.279 4.039
Mg 1.318 -0.767 2.923
In 1.320 2.258 0.804



# 3
16
Lattice="-5.822 -3.199 1.973 -4.047 2.349 -8.136 4.697 -8.092 0.740" Properties=species:S:1:pos:R:3 comment="Pr10In3Sn3 | the Alexandria database | PBE | relaxed" delta_e_f_ev_per_atom=-0.502 volume_a3_per_cell=528.7 pbc="T T T"
Pr -2.604 -1.939 -4.679
Pr 0.311 -5.420 -1.720
Pr -2.568 -7.002 -0.744
Pr -5.483 -3.522 -3.703
Pr 0.649 -7.732 1.547
Pr -5.979 0.181 -5.180
Pr -2.754 -2.990 -0.804
Pr 1.118 -1.925 0.176
Pr -0.963 0.559 -1.936
Pr 0.495 -4.376 -5.636
In 2.814 -4.847 0.443
In -2.424 1.407 -4.873
In 0.261 -2.303 -2.966
Sn -1.059 -4.790 1.278
Sn -4.507 -0.673 -2.221
Sn -2.517 -5.078 -3.493



# 4
80
Lattice="10.797 0.000 0.000 -3.599 10.180 0.000 -3.599 -5.090 8.816" Properties=species:S:1:pos:R:3 comment="Sc3Pa5H12 | the Alexandria database | PBE | relaxed" total_energy_ev_per_cell=-445.1 volume_a3_per_cell=969.0 pbc="T T T"
Sc 6.298 3.181 1.102
Sc 6.298 6.999 1.102
Sc -0.900 4.454 5.510
Sc 0.900 -0.636 3.306
Sc 8.098 0.000 2.204
Sc 0.900 5.090 2.204
Sc 2.699 0.000 6.612
Sc -4.499 5.090 6.612
Sc 2.699 5.726 5.510
Sc 4.499 0.636 3.306
Sc -2.699 -1.909 7.714
Sc -2.699 1.909 7.714
H 7.028 1.253 0.730
H 0.170 3.804 3.688
H 7.735 2.058 2.351
H 4.861 1.538 1.450
H 1.162 4.154 5.735
H 7.268 5.155 1.327
H -0.537 5.610 3.801
H -3.062 8.642 1.450
H 0.638 6.026 5.735
H 5.329 5.025 1.327
H 5.569 2.539 2.958
H 5.569 8.927 0.730
H -2.961 4.498 5.138
H 1.869 3.908 0.607
H -3.769 7.641 2.958
H 1.970 -1.286 5.128
H -0.638 0.344 2.057
H 1.869 6.206 0.720
H 4.861 8.121 2.351
H -0.070 3.973 0.720
H -2.438 5.434 6.759
H 2.337 4.570 3.801
H 4.761 5.681 5.138
H 3.669 -1.181 8.209
H 1.262 0.520 5.015
H -1.162 -0.591 3.678
H -0.070 6.271 0.607
H -1.262 -3.032 6.465
H 6.037 -0.344 2.057
H 3.669 1.116 8.096
H 1.730 -1.116 8.096
H 1.629 6.376 3.688
H 4.237 4.746 6.759
H 7.369 -2.551 5.858
H 6.560 0.591 3.678
H -1.970 -3.837 8.086
H 1.730 1.181 8.209
H 2.961 -0.936 3.081
H -1.730 0.065 7.489
H -1.970 2.551 5.858
H 6.661 -3.552 7.366
H 4.136 -0.520 5.015
H -1.262 3.552 7.366
H -3.669 -0.065 7.489
H 2.437 0.936 3.081
H -4.136 3.032 6.465
H 3.429 1.286 5.128
H -3.429 3.837 8.086
Pa -0.900 2.545 2.204
Pa -1.800 5.090 0.000
Pa 0.000 0.000 0.000
Pa 2.699 1.909 1.102
Pa 3.599 -2.545 4.408
Pa 3.599 5.090 0.000
Pa -2.699 5.726 3.306
Pa 4.499 -3.181 7.714
Pa 4.499 4.454 3.306
Pa 0.900 -2.545 6.612
Pa 2.699 7.635 2.204
Pa 1.800 2.545 4.408
Pa 5.399 0.000 0.000
Pa -1.800 -2.545 4.408
Pa -0.900 0.636 5.510
Pa -0.900 8.271 1.102
Pa -3.599 2.545 4.408
Pa 6.298 -0.636 5.510
Pa 0.900 3.181 7.714
Pa 4.499 2.545 6.612